No. 1
# CaLa2TeO, relaxed, DFT GGA-PBE
# Fermi-level density of states = 3.54 states/eV/f.u.
# magnetization = 0.00 μB/f.u.
# crystal system = tetragonal
# uncorrected formation energy = 0.488 eV/atom
data_CaLa2TeO
_chemical_formula_sum 'Ca1 La2 Te1 O1'
_cell_length_a 5.8719
_cell_length_b 5.8719
_cell_length_c 5.2866
_cell_angle_alpha 90.00
_cell_angle_beta 90.00
_cell_angle_gamma 90.00
_symmetry_space_group_name_H-M 'P 4/m m m'
_symmetry_Int_Tables_number 123
_symmetry_space_group_name_Hall '-P 4 2'
loop_
_atom_site_label
_atom_site_type_symbol
_atom_site_fract_x
_atom_site_fract_y
_atom_site_fract_z
Ca1 Ca 0.0000 0.0000 0.0000
La1 La 0.0000 0.5000 0.0000
Te1 Te 0.0000 0.0000 0.5000
O1 O 0.5000 0.5000 0.5000

=====

No. 2
# GeTeN3, relaxed, DFT GGA-PBE
# Fermi-level density of states = 1.85 states/eV/f.u.
# magnetization = 0.00 μB/f.u.
# crystal system = cubic
# uncorrected formation energy = 1.549 eV/atom
data_GeTeN3
_chemical_formula_sum 'Ge1 Te1 N3'
_cell_length_a 3.9736
_cell_length_b 3.9736
_cell_length_c 3.9736
_cell_angle_alpha 90.00
_cell_angle_beta 90.00
_cell_angle_gamma 90.00
_symmetry_space_group_name_H-M 'P m -3 m'
_symmetry_Int_Tables_number 221
_symmetry_space_group_name_Hall '-P 4 2 3'
loop_
_atom_site_label
_atom_site_type_symbol
_atom_site_fract_x
_atom_site_fract_y
_atom_site_fract_z
Ge1 Ge 0.0000 0.0000 0.0000
Te1 Te 0.5000 0.5000 0.5000
N1 N 0.0000 0.5000 0.5000

=====

No. 3
# NiS2N2, relaxed, DFT GGA-PBE
# Fermi-level density of states = 4.30 states/eV/f.u.
# magnetization = 0.00 μB/f.u.
# crystal system = tetragonal
# uncorrected formation energy = 1.335 eV/atom
# offset from the most stable computed form = 1446 meV/atom
data_NiS2N2
_chemical_formula_sum 'Ni1 S2 N2'
_cell_length_a 3.2737
_cell_length_b 3.2737
_cell_length_c 6.8243
_cell_angle_alpha 90.00
_cell_angle_beta 90.00
_cell_angle_gamma 90.00
_symmetry_space_group_name_H-M 'P 4/m m m'
_symmetry_Int_Tables_number 123
_symmetry_space_group_name_Hall '-P 4 2'
loop_
_atom_site_label
_atom_site_type_symbol
_atom_site_fract_x
_atom_site_fract_y
_atom_site_fract_z
Ni1 Ni 0.0000 0.0000 0.0000
S1 S 0.5000 0.5000 0.0000
S2 S 0.5000 0.5000 0.5000
N1 N 0.0000 0.5000 0.5000

=====

No. 4
# SiSbP2O, relaxed, DFT GGA-PBE
# Fermi-level density of states = 2.65 states/eV/f.u.
# magnetization = 0.00 μB/f.u.
# crystal system = tetragonal
# uncorrected formation energy = 0.621 eV/atom
# offset from the most stable computed form = 877 meV/atom
data_SiSbP2O
_chemical_formula_sum 'Si1 Sb1 P2 O1'
_cell_length_a 5.0637
_cell_length_b 5.0637
_cell_length_c 3.8809
_cell_angle_alpha 90.00
_cell_angle_beta 90.00
_cell_angle_gamma 90.00
_symmetry_space_group_name_H-M 'P 4/m m m'
_symmetry_Int_Tables_number 123
_symmetry_space_group_name_Hall '-P 4 2'
loop_
_atom_site_label
_atom_site_type_symbol
_atom_site_fract_x
_atom_site_fract_y
_atom_site_fract_z
Si1 Si 0.0000 0.0000 0.0000
Sb1 Sb 0.5000 0.5000 0.5000
P1 P 0.0000 0.5000 0.5000
O1 O 0.5000 0.5000 0.0000

=====

No. 5
# LiHfPt, relaxed, DFT GGA-PBE
# Fermi-level density of states = 2.08 states/eV/f.u.
# formation energy = -0.55 eV/atom
# magnetization = 0.00 μB/f.u.
# crystal system = trigonal
# offset from the most stable computed form = 182 meV/atom
data_LiHfPt
_chemical_formula_sum 'Li1 Hf1 Pt1'
_cell_length_a 4.4261
_cell_length_b 4.4261
_cell_length_c 2.8884
_cell_angle_alpha 90.00
_cell_angle_beta 90.00
_cell_angle_gamma 120.00
_symmetry_space_group_name_H-M 'P 3 m 1'
_symmetry_Int_Tables_number 156
loop_
_symmetry_equiv_pos_as_xyz
'x,y,z'
'-y,x-y,z'
'-x+y,-x,z'
'-y,-x,z'
'-x+y,y,z'
'x,x-y,z'
loop_
_atom_site_label
_atom_site_type_symbol
_atom_site_fract_x
_atom_site_fract_y
_atom_site_fract_z
Li1 Li 0.0000 0.0000 0.0000
Hf1 Hf 0.3333 0.6667 0.5685
Pt1 Pt 0.6667 0.3333 0.1512

=====

No. 6
# PrDy2Y, relaxed, DFT GGA-PBE
# Fermi-level density of states = 5.53 states/eV/f.u.
# formation energy = 0.02 eV/atom
# magnetization = 0.00 μB/f.u.
# crystal system = tetragonal
# offset from the most stable computed form = 17 meV/atom
data_PrDy2Y
_chemical_formula_sum 'Pr1 Dy2 Y1'
_cell_length_a 3.5975
_cell_length_b 3.5975
_cell_length_c 10.1638
_cell_angle_alpha 90.00
_cell_angle_beta 90.00
_cell_angle_gamma 90.00
_symmetry_space_group_name_H-M 'P 4/m m m'
_symmetry_Int_Tables_number 123
_symmetry_space_group_name_Hall '-P 4 2'
loop_
_atom_site_label
_atom_site_type_symbol
_atom_site_fract_x
_atom_site_fract_y
_atom_site_fract_z
Pr1 Pr 0.0000 0.0000 0.0000
Dy1 Dy 0.5000 0.5000 0.2539
Y1 Y 0.0000 0.0000 0.5000

=====

No. 7
# LiAsWBr2, relaxed, DFT GGA-PBE
# Fermi-level density of states = 2.16 states/eV/f.u.
# magnetization = 1.66 μB/f.u.
# crystal system = tetragonal
# uncorrected formation energy = 0.120 eV/atom
# offset from the most stable computed form = 0 meV/atom
data_LiAsWBr2
_chemical_formula_sum 'Li1 As1 W1 Br2'
_cell_length_a 5.3986
_cell_length_b 5.3986
_cell_length_c 4.8482
_cell_angle_alpha 90.00
_cell_angle_beta 90.00
_cell_angle_gamma 90.00
_symmetry_space_group_name_H-M 'P 4/m m m'
_symmetry_Int_Tables_number 123
_symmetry_space_group_name_Hall '-P 4 2'
loop_
_atom_site_label
_atom_site_type_symbol
_atom_site_fract_x
_atom_site_fract_y
_atom_site_fract_z
Li1 Li 0.0000 0.0000 0.0000
As1 As 0.5000 0.5000 0.0000
W1 W 0.5000 0.5000 0.5000
Br1 Br 0.0000 0.5000 0.5000

=====

No. 8
# Cr2ReOs, relaxed, DFT GGA-PBE
# Fermi-level density of states = 4.81 states/eV/f.u.
# formation energy = 0.14 eV/atom
# magnetization = 0.00 μB/f.u.
# crystal system = tetragonal
data_Cr2ReOs
_chemical_formula_sum 'Cr4 Re2 Os2'
_cell_length_a 3.7533
_cell_length_b 3.7533
_cell_length_c 7.5991
_cell_angle_alpha 90.00
_cell_angle_beta 90.00
_cell_angle_gamma 90.00
_symmetry_space_group_name_H-M 'I -4 m 2'
_symmetry_Int_Tables_number 119
_symmetry_space_group_name_Hall 'I -4 -2'
loop_
_atom_site_label
_atom_site_type_symbol
_atom_site_fract_x
_atom_site_fract_y
_atom_site_fract_z
Cr1 Cr 0.0000 0.0000 0.0000
Cr2 Cr 0.0000 0.5000 0.2500
Re1 Re 0.0000 0.0000 0.5000
Os1 Os 0.0000 0.5000 0.7500

=====

No. 9
# RbTi2Br6, relaxed, DFT GGA-PBE
# Fermi-level density of states = 8.47 states/eV/f.u.
# magnetization = 3.00 μB/f.u.
# crystal system = trigonal
# uncorrected formation energy = -1.285 eV/atom
data_RbTi2Br6
_chemical_formula_sum 'Rb1 Ti2 Br6'
_cell_length_a 6.6514
_cell_length_b 6.6514
_cell_length_c 8.1510
_cell_angle_alpha 90.00
_cell_angle_beta 90.00
_cell_angle_gamma 120.00
_symmetry_space_group_name_H-M 'P -3 1 m'
_symmetry_Int_Tables_number 162
_symmetry_space_group_name_Hall '-P 3 2'
loop_
_atom_site_label
_atom_site_type_symbol
_atom_site_fract_x
_atom_site_fract_y
_atom_site_fract_z
Rb1 Rb 0.0000 0.0000 0.0000
Ti1 Ti 0.3333 0.6667 0.5000
Br1 Br 0.0000 0.3525 0.6866

=====

No. 10
# PmCrI6, relaxed, DFT GGA-PBE
# magnetization = 2.97 μB/f.u.
# crystal system = trigonal
# uncorrected formation energy = -0.787 eV/atom
data_PmCrI6
_chemical_formula_sum 'Pm3 Cr3 I18'
_cell_length_a 7.3721
_cell_length_b 7.3721
_cell_length_c 19.9429
_cell_angle_alpha 90.00
_cell_angle_beta 90.00
_cell_angle_gamma 120.00
_symmetry_space_group_name_H-M 'R -3'
_symmetry_Int_Tables_number 148
_symmetry_space_group_name_Hall '-R 3'
loop_
_atom_site_label
_atom_site_type_symbol
_atom_site_fract_x
_atom_site_fract_y
_atom_site_fract_z
Pm1 Pm 0.0000 0.0000 0.0000
Cr1 Cr 0.0000 0.0000 0.5000
I1 I 0.0055 0.6941 0.4211

=====

No. 11
# CaYC3, relaxed, DFT GGA-PBE
# Fermi-level density of states = 2.76 states/eV/f.u.
# formation energy = 2.13 eV/atom
# magnetization = 0.00 μB/f.u.
# crystal system = cubic
# offset from the most stable computed form = 326 meV/atom
data_CaYC3
_chemical_formula_sum 'Ca1 Y1 C3'
_cell_length_a 4.2909
_cell_length_b 4.2909
_cell_length_c 4.2909
_cell_angle_alpha 90.00
_cell_angle_beta 90.00
_cell_angle_gamma 90.00
_symmetry_space_group_name_H-M 'P m -3 m'
_symmetry_Int_Tables_number 221
_symmetry_space_group_name_Hall '-P 4 2 3'
loop_
_atom_site_label
_atom_site_type_symbol
_atom_site_fract_x
_atom_site_fract_y
_atom_site_fract_z
Ca1 Ca 0.0000 0.0000 0.0000
Y1 Y 0.5000 0.5000 0.5000
C1 C 0.0000 0.0000 0.5000

=====

No. 12
# Sb5Au, relaxed, DFT GGA-PBE
# Fermi-level density of states = 3.02 states/eV/f.u.
# magnetization = 0.00 μB/f.u.
# crystal system = monoclinic
# uncorrected formation energy = 0.014 eV/atom
# offset from the most stable computed form = 0 meV/atom
data_Sb5Au
_chemical_formula_sum 'Sb10 Au2'
_cell_length_a 12.7341
_cell_length_b 4.3379
_cell_length_c 7.3621
_cell_angle_alpha 90.00
_cell_angle_beta 125.13
_cell_angle_gamma 90.00
_symmetry_space_group_name_H-M 'C 1 2/m 1'
_symmetry_Int_Tables_number 12
loop_
_symmetry_equiv_pos_as_xyz
'x,y,z'
'-x,-y,-z'
'-x,y,-z'
'x,-y,z'
'x+1/2,y+1/2,z'
'-x+1/2,-y+1/2,-z'
'-x+1/2,y+1/2,-z'
'x+1/2,-y+1/2,z'
loop_
_atom_site_label
_atom_site_type_symbol
_atom_site_fract_x
_atom_site_fract_y
_atom_site_fract_z
Sb1 Sb 0.0000 0.0000 0.0000
Sb2 Sb 0.1536 0.5000 0.9595
Sb3 Sb 0.1655 0.0000 0.5049
Au1 Au 0.0000 0.5000 0.5000

=====

| no. | electronic total energy (eV per cell) |
| --- | --- |
| 1 | -17.5 |
| 2 | -25.0 |
| 3 | -24.0 |
| 4 | -22.2 |
| 5 | -19.6 |
| 6 | -20.3 |
| 7 | -22.3 |
| 8 | -84.7 |
| 9 | -38.4 |
| 10 | -89.9 |
| 11 | -25.5 |
| 12 | -47.6 |